VASP calculation (PBE) on a relaxed structure of USi3Ru3.

```
USi3Ru3
1.0
6.468 0.000 0.000
0.000 6.468 0.000
0.000 0.000 6.468
U Si Ru
2 6 6
direct
0.000 0.000 0.000
0.500 0.500 0.500
0.000 0.250 0.500
0.000 0.750 0.500
0.250 0.500 0.000
0.500 0.000 0.250
0.500 0.000 0.750
0.750 0.500 0.000
0.000 0.500 0.250
0.000 0.500 0.750
0.250 0.000 0.500
0.500 0.250 0.000
0.500 0.750 0.000
0.750 0.000 0.500
```

Values from the calculation:
Space-group type = No. 223
Formation energy from raw total energies = 0.07 eV/atom
Total DFT energy (no corrections) = -109.781 eV per cell
DOS at the Fermi energy = 12.14 states/eV/cell
Crystal system = cubic
Magnetization = 3.1 μB per formula unit